[1]
# Nd6Sb5I, optimized geometry, DFT GGA-PBE
# Total DFT energy (no corrections) = -130.0 eV/cell
data_Nd6Sb5I
_symmetry_space_group_name_H-M 'C 1 2/m 1'
_symmetry_Int_Tables_number 12
_cell_length_a 7.8726
_cell_length_b 13.6067
_cell_length_c 7.8401
_cell_angle_alpha 90.00
_cell_angle_beta 109.46
_cell_angle_gamma 90.00
loop_
_symmetry_equiv_pos_as_xyz
'x,y,z'
'-x,-y,-z'
'-x,y,-z'
'x,-y,z'
'x+1/2,y+1/2,z'
'-x+1/2,-y+1/2,-z'
'-x+1/2,y+1/2,-z'
'x+1/2,-y+1/2,z'
loop_
_atom_site_label
_atom_site_fract_x
_atom_site_fract_y
_atom_site_fract_z
_atom_site_occupancy
Nd1 0.2361 0.0000 0.2560 1
Nd2 0.2383 0.1748 0.7405 1
Sb1 0.0000 0.0000 0.5000 1
Sb2 0.0000 0.1679 0.0000 1
Sb3 0.0000 0.3392 0.5000 1
I1 0.0000 0.5000 0.0000 1

[2]
# Nd3SbI7, optimized geometry, DFT GGA-PBE
# Total DFT energy (no corrections) = -42.3 eV/cell
data_Nd3SbI7
_symmetry_space_group_name_H-M 'P 3 m 1'
_symmetry_Int_Tables_number 156
_cell_length_a 9.2512
_cell_length_b 9.2512
_cell_length_c 7.1837
_cell_angle_alpha 90.00
_cell_angle_beta 90.00
_cell_angle_gamma 120.00
loop_
_symmetry_equiv_pos_as_xyz
'x,y,z'
'-y,x-y,z'
'-x+y,-x,z'
'-y,-x,z'
'-x+y,y,z'
'x,x-y,z'
loop_
_atom_site_label
_atom_site_fract_x
_atom_site_fract_y
_atom_site_fract_z
_atom_site_occupancy
Nd1 0.0053 0.5027 0.0000 1
Sb1 0.3333 0.6667 0.2327 1
I1 0.1759 0.3519 0.7452 1
I2 0.3420 0.1710 0.2323 1
I3 0.6667 0.3333 0.7402 1

[3]
# Nd2SbI3, optimized geometry, DFT GGA-PBE
# Total DFT energy (no corrections) = -102.3 eV/cell
data_Nd2SbI3
_symmetry_space_group_name_H-M 'C 1 2/m 1'
_symmetry_Int_Tables_number 12
_cell_length_a 19.0438
_cell_length_b 4.7156
_cell_length_c 14.0235
_cell_angle_alpha 90.00
_cell_angle_beta 124.66
_cell_angle_gamma 90.00
loop_
_symmetry_equiv_pos_as_xyz
'x,y,z'
'-x,-y,-z'
'-x,y,-z'
'x,-y,z'
'x+1/2,y+1/2,z'
'-x+1/2,-y+1/2,-z'
'-x+1/2,y+1/2,-z'
'x+1/2,-y+1/2,z'
loop_
_atom_site_label
_atom_site_fract_x
_atom_site_fract_y
_atom_site_fract_z
_atom_site_occupancy
Nd1 0.1054 0.0000 0.4483 1
Nd2 0.1364 0.5000 0.8266 1
Sb1 0.0919 0.0000 0.6619 1
I1 0.0561 0.5000 0.2539 1
I2 0.1591 0.0000 0.0155 1
I3 0.2383 0.5000 0.6062 1

[4]
# Nd7SbI12, optimized geometry, DFT GGA-PBE
# Total DFT energy (no corrections) = -246.7 eV/cell
data_Nd7SbI12
_symmetry_space_group_name_H-M 'R -3'
_symmetry_Int_Tables_number 148
_symmetry_space_group_name_Hall '-R 3'
_cell_length_a 16.3591
_cell_length_b 16.3591
_cell_length_c 10.7035
_cell_angle_alpha 90.00
_cell_angle_beta 90.00
_cell_angle_gamma 120.00
loop_
_atom_site_label
_atom_site_fract_x
_atom_site_fract_y
_atom_site_fract_z
_atom_site_occupancy
Nd1 0.0000 0.0000 0.0000 1
Nd2 0.0481 0.8799 0.3424 1
Sb1 0.0000 0.0000 0.5000 1
I1 0.0235 0.4358 0.1663 1
I2 0.0519 0.8685 0.8398 1

[5]
# Nd2SbI2, optimized geometry, DFT GGA-PBE
# Total DFT energy (no corrections) = -70.3 eV/cell
data_Nd2SbI2
_symmetry_space_group_name_H-M 'R -3 m'
_symmetry_Int_Tables_number 166
_symmetry_space_group_name_Hall '-R 3 2"'
_cell_length_a 4.4776
_cell_length_b 4.4776
_cell_length_c 34.6229
_cell_angle_alpha 90.00
_cell_angle_beta 90.00
_cell_angle_gamma 120.00
loop_
_atom_site_label
_atom_site_fract_x
_atom_site_fract_y
_atom_site_fract_z
_atom_site_occupancy
Nd1 0.0000 0.0000 0.1159 1
Sb1 0.0000 0.0000 0.5000 1
I1 0.0000 0.0000 0.2752 1

[6]
# Nd2SbI, optimized geometry, DFT GGA-PBE
# Total DFT energy (no corrections) = -76.4 eV/cell
data_Nd2SbI
_symmetry_space_group_name_H-M 'F m -3 m'
_symmetry_Int_Tables_number 225
_symmetry_space_group_name_Hall '-F 4 2 3'
_cell_length_a 7.8073
_cell_length_b 7.8073
_cell_length_c 7.8073
_cell_angle_alpha 90.00
_cell_angle_beta 90.00
_cell_angle_gamma 90.00
loop_
_atom_site_label
_atom_site_fract_x
_atom_site_fract_y
_atom_site_fract_z
_atom_site_occupancy
Nd1 0.2500 0.2500 0.2500 1
Sb1 0.0000 0.0000 0.0000 1
I1 0.0000 0.0000 0.5000 1

[7]
# Nd2SbI, optimized geometry, DFT GGA-PBE
# Total DFT energy (no corrections) = -18.3 eV/cell
data_Nd2SbI
_symmetry_space_group_name_H-M 'P 1 m 1'
_symmetry_Int_Tables_number 6
_cell_length_a 5.0589
_cell_length_b 6.3070
_cell_length_c 5.5558
_cell_angle_alpha 90.00
_cell_angle_beta 116.87
_cell_angle_gamma 90.00
loop_
_symmetry_equiv_pos_as_xyz
'x,y,z'
'x,-y,z'
loop_
_atom_site_label
_atom_site_fract_x
_atom_site_fract_y
_atom_site_fract_z
_atom_site_occupancy
Nd1 0.0000 0.0000 0.0000 1
Nd2 0.3121 0.5000 0.6194 1
Sb1 0.9953 0.5000 0.9885 1
I1 0.3147 0.0000 0.6265 1

[8]
# Nd6Si2SbI3, optimized geometry, DFT GGA-PBE
# Total DFT energy (no corrections) = -120.6 eV/cell
data_Nd6Si2SbI3
_symmetry_space_group_name_H-M 'C 1 2/m 1'
_symmetry_Int_Tables_number 12
_cell_length_a 19.9526
_cell_length_b 4.3998
_cell_length_c 9.2195
_cell_angle_alpha 90.00
_cell_angle_beta 106.62
_cell_angle_gamma 90.00
loop_
_symmetry_equiv_pos_as_xyz
'x,y,z'
'-x,-y,-z'
'-x,y,-z'
'x,-y,z'
'x+1/2,y+1/2,z'
'-x+1/2,-y+1/2,-z'
'-x+1/2,y+1/2,-z'
'x+1/2,-y+1/2,z'
loop_
_atom_site_label
_atom_site_fract_x
_atom_site_fract_y
_atom_site_fract_z
_atom_site_occupancy
Nd1 0.0207 0.0000 0.2447 1
Nd2 0.1659 0.5000 0.1335 1
Nd3 0.1782 0.5000 0.5577 1
Si1 0.1693 0.0000 0.3402 1
Sb1 0.0000 0.5000 0.0000 1
I1 0.0000 0.5000 0.5000 1
I2 0.1637 0.0000 0.8348 1

Q: Look up the total DFT energy (no corrections) of the fifth one.
A: -70.3 eV/cell